Entry 1:
A relaxed structure of Pm3Co3Te, computed with PBE-GGA.

It has space group P6_3/m (No. 176), with a = 9.5711 Å, b = 9.5711 Å, c = 4.0812 Å, α = 90.00°, β = 90.00° and γ = 120.00°. Symmetry generates all atoms from Pm at (0.0748, 0.6908, 0.2500), Co at (0.0175, 0.8652, 0.7500) and Te at (0.3333, 0.6667, 0.7500).

Its uncorrected formation energy is -0.425 eV/atom.

=====

Entry 2:
A relaxed structure of Y5Cu4Rh, computed with PBE-GGA.

It has space group P4/mmm (No. 123), with a = 3.4747 Å, b = 3.4747 Å, c = 17.4193 Å, α = 90.00°, β = 90.00° and γ = 90.00°. Symmetry generates all atoms from Y at (0.0000, 0.0000, 0.0000), Y at (0.0000, 0.0000, 0.2016), Y at (0.0000, 0.0000, 0.4035), Cu at (0.5000, 0.5000, 0.0998), Cu at (0.5000, 0.5000, 0.3011) and Rh at (0.5000, 0.5000, 0.5000).

=====

Entry 3:
A relaxed structure of Li2AgSnSe4, computed with PBE-GGA.

It has space group P2/m (No. 10), with a = 6.9015 Å, b = 3.8745 Å, c = 6.9531 Å, α = 90.00°, β = 111.63° and γ = 90.00°. Symmetry generates all atoms from Li at (0.0000, 0.0000, 0.0000), Li at (0.0000, 0.5000, 0.5000), Ag at (0.5000, 0.0000, 0.5000), Sn at (0.5000, 0.5000, 0.0000), Se at (0.2267, 0.0000, 0.7714) and Se at (0.2752, 0.5000, 0.2567).

Its uncorrected formation energy is -0.555 eV/atom.

=====

Entry 4:
A relaxed structure of Ca2Pr, computed with PBE-GGA.

It has space group C2/m (No. 12), with a = 6.5518 Å, b = 3.7943 Å, c = 9.4608 Å, α = 90.00°, β = 90.20° and γ = 90.00°. Symmetry generates all atoms from Ca at (0.1673, 0.0000, 0.3295) and Pr at (0.0000, 0.5000, 0.0000).

=====

Entry 5:
A relaxed structure of ZnTcSbI2, computed with PBE-GGA.

It has space group P4/mmm (No. 123), with a = 5.4518 Å, b = 5.4518 Å, c = 5.4608 Å, α = 90.00°, β = 90.00° and γ = 90.00°. Symmetry generates all atoms from Zn at (0.0000, 0.0000, 0.0000), Tc at (0.5000, 0.5000, 0.5000), Sb at (0.0000, 0.0000, 0.5000) and I at (0.0000, 0.5000, 0.0000).

Its uncorrected formation energy is 1.059 eV/atom.

=====

Entry 6:
A relaxed structure of TlMoW2, computed with PBE-GGA.

It has space group Cmm2 (No. 35), with a = 3.2426 Å, b = 4.7321 Å, c = 9.2956 Å, α = 90.00°, β = 90.00° and γ = 90.00°. Symmetry generates all atoms from Tl at (0.0000, 0.0000, 0.0000), Mo at (0.0000, 0.5000, 0.2683), W at (0.0000, 0.0000, 0.4973) and W at (0.0000, 0.5000, 0.7272).

=====

Entry 7:
A relaxed structure of PaTeMo, computed with PBE-GGA.

It has space group I4mm (No. 107), with a = 3.3962 Å, b = 3.3962 Å, c = 11.3284 Å, α = 90.00°, β = 90.00° and γ = 90.00°. Symmetry generates all atoms from Pa at (0.0000, 0.0000, 0.0000), Te at (0.0000, 0.0000, 0.2951) and Mo at (0.0000, 0.0000, 0.6669).

Its uncorrected formation energy is -0.041 eV/atom.

=====

Entry 8:
A relaxed structure of CsYCdF6, computed with PBE-GGA.

It has space group Imma (No. 74), with a = 8.0621 Å, b = 8.3680 Å, c = 11.7634 Å, α = 90.00°, β = 90.00° and γ = 90.00°. Symmetry generates all atoms from Cs at (0.0000, 0.2500, 0.0807), Y at (0.0000, 0.0000, 0.5000), Cd at (0.2500, 0.2500, 0.7500), F at (0.0000, 0.2500, 0.4389), F at (0.0000, 0.2500, 0.8272) and F at (0.1987, 0.0533, 0.6197).

Its uncorrected formation energy is -3.173 eV/atom.

=====

Entry 9:
A relaxed structure of Rb2ThHgSe4, computed with PBE-GGA.

It has space group P2/m (No. 10), with a = 7.7726 Å, b = 4.2969 Å, c = 8.5075 Å, α = 90.00°, β = 110.58° and γ = 90.00°. Symmetry generates all atoms from Rb at (0.0000, 0.0000, 0.0000), Rb at (0.5000, 0.5000, 0.0000), Th at (0.0000, 0.5000, 0.5000), Hg at (0.5000, 0.0000, 0.5000), Se at (0.2068, 0.0000, 0.7154) and Se at (0.2697, 0.5000, 0.3212).

Its uncorrected formation energy is -1.167 eV/atom.

=====

Entry 10:
A relaxed structure of In8Hg3Te2, computed with PBE-GGA.

It has space group P-1 (No. 2), with a = 6.5264 Å, b = 7.1427 Å, c = 9.3503 Å, α = 70.27°, β = 70.41° and γ = 72.04°. Symmetry generates all atoms from In at (0.1038, 0.2560, 0.0354), In at (0.2008, 0.0711, 0.6992), In at (0.3436, 0.4752, 0.6914), In at (0.3524, 0.3100, 0.2504), Hg at (0.0000, 0.5000, 0.5000), Hg at (0.2618, 0.8771, 0.4271) and Te at (0.2933, 0.7890, 0.0552).

Its uncorrected formation energy is -0.039 eV/atom.

=====

Entry 11:
A relaxed structure of TiNb6Mo3, computed with PBE-GGA.

It has space group P2_1/m (No. 11), with a = 8.0091 Å, b = 4.5877 Å, c = 9.7483 Å, α = 90.00°, β = 105.22° and γ = 90.00°. Symmetry generates all atoms from Ti at (0.0472, 0.2500, 0.4042), Nb at (0.0558, 0.7500, 0.9024), Nb at (0.1449, 0.7500, 0.2082), Nb at (0.1629, 0.2500, 0.7057), Nb at (0.2602, 0.7500, 0.5064), Nb at (0.3535, 0.2500, 0.2996), Nb at (0.4498, 0.7500, 0.0984), Mo at (0.2494, 0.2500, 0.0026), Mo at (0.3498, 0.7500, 0.8009) and Mo at (0.4500, 0.2500, 0.6000).

=====

Entry 12:
A relaxed structure of Ba5PbI5, computed with PBE-GGA.

It has space group C2/m (No. 12), with a = 16.0173 Å, b = 7.0967 Å, c = 10.1454 Å, α = 90.00°, β = 108.67° and γ = 90.00°. Symmetry generates all atoms from Ba at (0.0000, 0.0000, 0.0000), Ba at (0.1563, 0.5000, 0.3187), Ba at (0.1572, 0.5000, 0.8395), Pb at (0.0000, 0.5000, 0.0000), I at (0.0000, 0.5000, 0.5000), I at (0.1686, 0.0000, 0.8303) and I at (0.1752, 0.0000, 0.3377).

Its uncorrected formation energy is -1.379 eV/atom.

=====

Q: Which electronic total energy values were calculated for the entries above? A: -5.95 -5.97 -3.63 -2.87 -2.71 -9.27 -7.86 -5.33 -4.12 -2.28 -10.16 -3.29, in eV per atom.